No. 1
{
  "formula": "Ca2TaAl",
  "functional": "PBE",
  "state": "relaxed",
  "lattice_angstrom": [[6.228, 0.003, -0.001], [3.238, 5.320, 0.001], [-4.161, -3.678, 2.819]],
  "species": ["Al", "Ca", "Ca", "Ta"],
  "fractional_positions": [[0.250, 0.750, 0.500], [0.484, 0.484, 0.000], [0.016, 0.016, 0.000], [0.750, 0.250, 0.500]],
  "crystal_system": "orthorhombic",
  "dos_ef_per_ev_cell": 2.8,
  "volume_a3_per_fu": 93,
  "mass_density_g_cm3": 5.12,
  "formation_enthalpy_0k_ev_per_atom": 0.50
}

No. 2
{
  "formula": "CaTaAl2",
  "functional": "PBE",
  "state": "relaxed",
  "lattice_angstrom": [[5.271, -0.059, 0.000], [-1.513, 5.050, 0.001], [0.000, 0.000, 2.912]],
  "species": ["Ta", "Al", "Al", "Ca"],
  "fractional_positions": [[0.000, 0.500, 0.500], [0.500, 0.500, 0.000], [0.000, 0.000, 0.000], [0.500, 0.000, 0.500]],
  "crystal_system": "orthorhombic",
  "e_above_lowest_polymorph_ev_per_atom": 0.201,
  "dos_ef_per_ev_cell": 2.6,
  "volume_a3_per_fu": 77,
  "mass_density_g_cm3": 5.91,
  "formation_enthalpy_0k_ev_per_atom": 0.06
}

No. 3
{
  "formula": "Ca2TaAl",
  "functional": "PBE",
  "state": "relaxed",
  "lattice_angstrom": [[4.944, 0.000, 0.000], [0.000, 4.374, 0.000], [0.000, 0.000, 4.374]],
  "species": ["Ca", "Ca", "Al", "Ta"],
  "fractional_positions": [[0.000, 0.000, 0.000], [0.000, 0.500, 0.500], [0.500, 0.000, 0.500], [0.500, 0.500, 0.000]],
  "crystal_system": "tetragonal",
  "dos_ef_per_ev_cell": 3.8,
  "volume_a3_per_fu": 95,
  "mass_density_g_cm3": 5.06,
  "formation_enthalpy_0k_ev_per_atom": 0.48
}

No. 4
{
  "formula": "CaTaAl",
  "functional": "PBE",
  "state": "relaxed",
  "lattice_angstrom": [[4.722, 0.000, 0.000], [2.361, 4.090, 0.000], [2.361, 1.363, 3.856]],
  "species": ["Al", "Ca", "Ta"],
  "fractional_positions": [[0.750, 0.750, 0.750], [0.000, 0.000, 0.000], [0.500, 0.500, 0.500]],
  "crystal_system": "cubic",
  "e_above_lowest_polymorph_ev_per_atom": 0.673,
  "dos_ef_per_ev_cell": 3.3,
  "volume_a3_per_fu": 74,
  "mass_density_g_cm3": 5.53,
  "formation_enthalpy_0k_ev_per_atom": 0.83
}

No. 5
{
  "formula": "CaTb5Al4",
  "functional": "PBE",
  "state": "relaxed",
  "lattice_angstrom": [[3.596, 0.000, 0.000], [0.000, 3.596, 0.000], [0.000, 0.000, 20.301]],
  "species": ["Tb", "Tb", "Tb", "Tb", "Tb", "Al", "Al", "Al", "Al", "Ca"],
  "fractional_positions": [[0.500, 0.500, 0.680], [0.500, 0.500, 0.141], [0.500, 0.500, 0.500], [0.500, 0.500, 0.859], [0.500, 0.500, 0.320], [0.000, 0.000, 0.410], [0.000, 0.000, 0.771], [0.000, 0.000, 0.229], [0.000, 0.000, 0.590], [0.000, 0.000, 0.000]],
  "crystal_system": "tetragonal",
  "dos_ef_per_ev_cell": 5.1,
  "volume_a3_per_fu": 263,
  "mass_density_g_cm3": 5.96,
  "formation_enthalpy_0k_ev_per_atom": -0.30
}

No. 6
{
  "formula": "CaTb3Al8",
  "functional": "PBE",
  "state": "relaxed",
  "lattice_angstrom": [[5.588, 0.000, 0.000], [2.794, 4.840, 0.000], [2.794, 1.613, 9.153]],
  "species": ["Al", "Al", "Al", "Al", "Al", "Al", "Al", "Al", "Tb", "Tb", "Tb", "Ca"],
  "fractional_positions": [[0.687, 0.687, 0.938], [0.438, 0.438, 0.184], [0.438, 0.940, 0.184], [0.188, 0.188, 0.437], [0.435, 0.937, 0.690], [0.937, 0.937, 0.690], [0.937, 0.435, 0.690], [0.940, 0.438, 0.184], [0.999, 0.999, 0.003], [0.500, 0.500, 0.499], [0.375, 0.375, 0.875], [0.875, 0.875, 0.374]],
  "crystal_system": "trigonal",
  "dos_ef_per_ev_cell": 8.6,
  "volume_a3_per_fu": 248,
  "mass_density_g_cm3": 4.92,
  "formation_enthalpy_0k_ev_per_atom": -0.46
}

No. 7
{
  "formula": "CaTb2Al9",
  "functional": "PBE",
  "state": "relaxed",
  "lattice_angstrom": [[5.629, 0.000, 0.000], [2.814, 4.875, 0.000], [2.814, 1.625, 8.770]],
  "species": ["Al", "Al", "Al", "Al", "Al", "Al", "Al", "Al", "Al", "Tb", "Tb", "Ca"],
  "fractional_positions": [[0.412, 0.924, 0.253], [0.500, 0.500, 0.500], [0.588, 0.588, 0.747], [0.335, 0.335, 0.994], [0.412, 0.412, 0.253], [0.588, 0.076, 0.747], [0.924, 0.412, 0.253], [0.076, 0.588, 0.747], [0.665, 0.665, 0.006], [0.142, 0.142, 0.574], [0.858, 0.858, 0.426], [0.000, 0.000, 0.000]],
  "crystal_system": "trigonal",
  "dos_ef_per_ev_cell": 4.5,
  "volume_a3_per_fu": 241,
  "mass_density_g_cm3": 4.15,
  "formation_enthalpy_0k_ev_per_atom": -0.33
}

No. 8
{
  "formula": "CaTb2Al6",
  "functional": "PBE",
  "state": "relaxed",
  "lattice_angstrom": [[-3.427, 0.225, 2.882], [-4.236, -3.407, -4.770], [5.648, -4.341, 3.568]],
  "species": ["Al", "Al", "Al", "Al", "Al", "Al", "Tb", "Tb", "Ca"],
  "fractional_positions": [[0.500, 0.184, 0.000], [0.313, 0.118, 0.626], [0.313, 0.508, 0.626], [0.500, 0.816, 0.000], [0.687, 0.492, 0.374], [0.687, 0.882, 0.374], [0.877, 0.877, 0.754], [0.123, 0.123, 0.246], [0.000, 0.500, 0.000]],
  "crystal_system": "orthorhombic",
  "e_above_lowest_polymorph_ev_per_atom": 0.172,
  "dos_ef_per_ev_cell": 2.6,
  "volume_a3_per_fu": 218,
  "mass_density_g_cm3": 3.95,
  "formation_enthalpy_0k_ev_per_atom": -0.24
}

No. 9
{
  "formula": "Ca3Tb12Al5",
  "functional": "PBE",
  "state": "relaxed",
  "lattice_angstrom": [[-11.659, -6.360, -8.608], [2.771, -9.086, 12.659], [-4.242, 14.493, 4.736]],
  "species": ["Al", "Al", "Al", "Al", "Al", "Al", "Al", "Al", "Al", "Al", "Al", "Al", "Al", "Al", "Al", "Al", "Al", "Al", "Al", "Al", "Ca", "Ca", "Ca", "Ca", "Ca", "Ca", "Ca", "Ca", "Ca", "Ca", "Ca", "Ca", "Tb", "Tb", "Tb", "Tb", "Tb", "Tb", "Tb", "Tb", "Tb", "Tb", "Tb", "Tb", "Tb", "Tb", "Tb", "Tb", "Tb", "Tb", "Tb", "Tb", "Tb", "Tb", "Tb", "Tb", "Tb", "Tb", "Tb", "Tb", "Tb", "Tb", "Tb", "Tb", "Tb", "Tb", "Tb", "Tb", "Tb", "Tb", "Tb", "Tb", "Tb", "Tb", "Tb", "Tb", "Tb", "Tb", "Tb", "Tb"],
  "fractional_positions": [[0.250, 0.875, 0.125], [0.750, 0.625, 0.375], [0.375, 0.125, 0.750], [0.375, 0.250, 0.125], [0.750, 0.125, 0.875], [0.500, 0.000, 0.500], [0.875, 0.625, 0.750], [0.625, 0.875, 0.250], [0.625, 0.750, 0.875], [0.125, 0.375, 0.250], [0.500, 0.500, 0.000], [0.000, 0.500, 0.000], [0.000, 0.500, 0.500], [0.125, 0.750, 0.375], [0.500, 0.000, 0.000], [0.000, 0.000, 0.500], [0.875, 0.250, 0.625], [0.500, 0.500, 0.500], [0.000, 0.000, 0.000], [0.250, 0.375, 0.625], [0.375, 0.750, 0.625], [0.750, 0.875, 0.625], [0.125, 0.250, 0.875], [0.625, 0.375, 0.750], [0.375, 0.625, 0.250], [0.875, 0.125, 0.250], [0.250, 0.625, 0.875], [0.875, 0.750, 0.125], [0.250, 0.125, 0.375], [0.125, 0.875, 0.750], [0.625, 0.250, 0.375], [0.750, 0.375, 0.125], [0.426, 0.027, 0.326], [0.826, 0.900, 0.300], [0.101, 0.400, 0.074], [0.899, 0.300, 0.473], [0.473, 0.800, 0.899], [0.100, 0.926, 0.399], [0.900, 0.074, 0.601], [0.926, 0.100, 0.899], [0.326, 0.800, 0.400], [0.574, 0.973, 0.674], [0.600, 0.899, 0.426], [0.674, 0.200, 0.600], [0.527, 0.200, 0.101], [0.473, 0.674, 0.074], [0.399, 0.973, 0.800], [0.600, 0.700, 0.674], [0.973, 0.574, 0.174], [0.100, 0.174, 0.200], [0.674, 0.473, 0.574], [0.399, 0.426, 0.100], [0.926, 0.826, 0.527], [0.700, 0.101, 0.027], [0.527, 0.326, 0.926], [0.101, 0.700, 0.527], [0.074, 0.900, 0.101], [0.074, 0.174, 0.473], [0.426, 0.399, 0.600], [0.400, 0.101, 0.574], [0.300, 0.899, 0.973], [0.574, 0.601, 0.400], [0.973, 0.399, 0.300], [0.174, 0.074, 0.973], [0.800, 0.473, 0.399], [0.174, 0.100, 0.700], [0.200, 0.527, 0.601], [0.200, 0.674, 0.100], [0.826, 0.926, 0.027], [0.601, 0.027, 0.200], [0.601, 0.574, 0.900], [0.400, 0.300, 0.326], [0.700, 0.600, 0.174], [0.800, 0.326, 0.900], [0.326, 0.527, 0.426], [0.027, 0.601, 0.700], [0.899, 0.600, 0.926], [0.300, 0.400, 0.826], [0.900, 0.826, 0.800], [0.027, 0.426, 0.826]],
  "crystal_system": "cubic",
  "dos_ef_per_ev_cell": 107.7,
  "volume_a3_per_fu": 763,
  "mass_density_g_cm3": 4.71,
  "formation_enthalpy_0k_ev_per_atom": 0.61
}

No. 10
{
  "formula": "CaTb2Al6",
  "functional": "PBE",
  "state": "relaxed",
  "lattice_angstrom": [[-0.130, -3.400, 0.989], [-3.170, -1.924, -7.032], [7.894, -0.029, 0.943]],
  "species": ["Al", "Al", "Al", "Al", "Al", "Al", "Ca", "Tb", "Tb"],
  "fractional_positions": [[0.500, 0.665, 0.000], [0.500, 0.335, 0.000], [0.500, 0.000, 0.665], [0.500, 0.335, 0.335], [0.500, 0.665, 0.665], [0.500, 0.000, 0.335], [0.000, 0.000, 0.000], [0.000, 0.333, 0.667], [0.000, 0.667, 0.333]],
  "crystal_system": "hexagonal",
  "e_above_lowest_polymorph_ev_per_atom": 0.000,
  "dos_ef_per_ev_cell": 3.5,
  "volume_a3_per_fu": 194,
  "mass_density_g_cm3": 4.45,
  "formation_enthalpy_0k_ev_per_atom": -0.41
}

No. 11
{
  "formula": "CaTb5Al3",
  "functional": "PBE",
  "state": "relaxed",
  "lattice_angstrom": [[6.673, 0.000, 0.000], [0.000, 9.146, 0.000], [0.000, -4.573, 7.921]],
  "species": ["Al", "Al", "Al", "Al", "Al", "Al", "Tb", "Tb", "Tb", "Tb", "Tb", "Tb", "Tb", "Tb", "Tb", "Tb", "Ca", "Ca"],
  "fractional_positions": [[0.250, 0.000, 0.337], [0.250, 0.663, 0.663], [0.750, 0.663, 0.000], [0.750, 0.337, 0.337], [0.250, 0.337, 0.000], [0.750, 0.000, 0.663], [0.250, 0.668, 0.000], [0.750, 0.000, 0.333], [0.250, 0.332, 0.333], [0.000, 0.333, 0.667], [0.750, 0.668, 0.667], [0.500, 0.333, 0.667], [0.500, 0.667, 0.333], [0.750, 0.332, 0.000], [0.250, 0.000, 0.667], [0.000, 0.667, 0.333], [0.500, 0.000, 0.000], [0.000, 0.000, 0.000]],
  "crystal_system": "hexagonal",
  "dos_ef_per_ev_cell": 14.5,
  "volume_a3_per_fu": 242,
  "mass_density_g_cm3": 6.29,
  "formation_enthalpy_0k_ev_per_atom": -0.26
}

No. 12
{
  "formula": "CaTb4Al5",
  "functional": "PBE",
  "state": "relaxed",
  "lattice_angstrom": [[-0.118, -3.240, -1.587], [3.317, -0.722, 1.227], [-7.232, -7.227, 15.292]],
  "species": ["Al", "Al", "Al", "Al", "Al", "Tb", "Tb", "Tb", "Tb", "Ca"],
  "fractional_positions": [[0.500, 0.500, 0.104], [0.500, 0.500, 0.698], [0.500, 0.500, 0.500], [0.500, 0.500, 0.896], [0.500, 0.500, 0.302], [0.000, 0.000, 0.598], [0.000, 0.000, 0.203], [0.000, 0.000, 0.402], [0.000, 0.000, 0.797], [0.000, 0.000, 0.000]],
  "crystal_system": "tetragonal",
  "dos_ef_per_ev_cell": 4.4,
  "volume_a3_per_fu": 240,
  "mass_density_g_cm3": 5.62,
  "formation_enthalpy_0k_ev_per_atom": -0.35
}

No. 13
{
  "formula": "CaTbAlTl",
  "functional": "PBE",
  "state": "relaxed",
  "lattice_angstrom": [[-4.487, 1.645, -2.333], [-3.781, -3.518, -1.270], [-4.582, -0.070, 2.700]],
  "species": ["Al", "Ca", "Tb", "Tl"],
  "fractional_positions": [[0.500, 0.500, 0.500], [0.750, 0.750, 0.750], [0.250, 0.250, 0.250], [0.000, 0.000, 0.000]],
  "crystal_system": "cubic",
  "dos_ef_per_ev_cell": 2.7,
  "volume_a3_per_fu": 106,
  "mass_density_g_cm3": 6.72,
  "formation_enthalpy_0k_ev_per_atom": -0.30
}

No. 14
{
  "formula": "CaTbTmAl",
  "functional": "PBE",
  "state": "relaxed",
  "lattice_angstrom": [[-1.048, -2.566, 4.594], [4.013, -2.105, 2.873], [1.392, 2.211, 4.686]],
  "species": ["Tb", "Tm", "Al", "Ca"],
  "fractional_positions": [[0.000, 0.000, 0.000], [0.500, 0.500, 0.500], [0.750, 0.750, 0.750], [0.250, 0.250, 0.250]],
  "crystal_system": "cubic",
  "dos_ef_per_ev_cell": 2.9,
  "volume_a3_per_fu": 109,
  "mass_density_g_cm3": 6.00,
  "formation_enthalpy_0k_ev_per_atom": -0.04
}

No. 15
{
  "formula": "CaTbAlZn",
  "functional": "PBE",
  "state": "relaxed",
  "lattice_angstrom": [[-0.172, -5.070, -0.944], [-0.051, -3.354, 3.921], [-4.285, -2.676, 1.051]],
  "species": ["Zn", "Al", "Ca", "Tb"],
  "fractional_positions": [[0.000, 0.000, 0.000], [0.500, 0.500, 0.500], [0.250, 0.250, 0.250], [0.750, 0.750, 0.750]],
  "crystal_system": "cubic",
  "dos_ef_per_ev_cell": 1.8,
  "volume_a3_per_fu": 97,
  "mass_density_g_cm3": 4.98,
  "formation_enthalpy_0k_ev_per_atom": -0.30
}

No. 16
{
  "formula": "CaTbAlZn",
  "functional": "PBE",
  "state": "relaxed",
  "lattice_angstrom": [[-1.267, -1.870, 2.791], [-1.477, -2.369, -2.258], [6.337, -4.084, 0.140]],
  "species": ["Tb", "Al", "Zn", "Ca"],
  "fractional_positions": [[0.000, 0.000, 0.361], [0.500, 0.500, 0.117], [0.500, 0.500, 0.597], [0.000, 0.000, 0.853]],
  "crystal_system": "tetragonal",
  "dos_ef_per_ev_cell": 2.4,
  "volume_a3_per_fu": 97,
  "mass_density_g_cm3": 4.98,
  "formation_enthalpy_0k_ev_per_atom": -0.30
}

No. 17
{
  "formula": "CaTb2Al2Zn2",
  "functional": "PBE",
  "state": "relaxed",
  "lattice_angstrom": [[-3.757, -0.831, -2.436], [-3.697, -1.716, 2.031], [-5.529, 7.779, 1.615]],
  "species": ["Al", "Al", "Ca", "Tb", "Tb", "Zn", "Zn"],
  "fractional_positions": [[0.743, 0.743, 0.772], [0.257, 0.257, 0.228], [0.000, 0.000, 0.000], [0.128, 0.128, 0.615], [0.872, 0.872, 0.385], [0.407, 0.407, 0.780], [0.593, 0.593, 0.220]],
  "crystal_system": "trigonal",
  "dos_ef_per_ev_cell": 2.8,
  "volume_a3_per_fu": 167,
  "mass_density_g_cm3": 5.39,
  "formation_enthalpy_0k_ev_per_atom": -0.28
}

No. 18
{
  "formula": "CaAlTc3",
  "functional": "PBE",
  "state": "relaxed",
  "lattice_angstrom": [[4.613, 0.000, 0.000], [0.000, 4.613, 0.000], [0.000, 0.000, 4.613]],
  "species": ["Tc", "Tc", "Tc", "Al", "Ca"],
  "fractional_positions": [[0.500, 0.000, 0.000], [0.000, 0.500, 0.000], [0.000, 0.000, 0.500], [0.000, 0.000, 0.000], [0.500, 0.500, 0.500]],
  "crystal_system": "cubic",
  "e_above_lowest_polymorph_ev_per_atom": 0.000,
  "dos_ef_per_ev_cell": 10.4,
  "volume_a3_per_fu": 98,
  "mass_density_g_cm3": 6.11,
  "formation_enthalpy_0k_ev_per_atom": 1.09
}

No. 19
{
  "formula": "CaAl2Tc",
  "functional": "PBE",
  "state": "relaxed",
  "lattice_angstrom": [[9.101, 0.042, 0.025], [8.528, 3.177, 0.025], [8.528, 1.557, 2.770]],
  "species": ["Tc", "Ca", "Al", "Al"],
  "fractional_positions": [[0.750, 0.750, 0.750], [0.250, 0.250, 0.250], [0.015, 0.015, 0.015], [0.485, 0.485, 0.485]],
  "crystal_system": "trigonal",
  "e_above_lowest_polymorph_ev_per_atom": 0.330,
  "dos_ef_per_ev_cell": 3.0,
  "volume_a3_per_fu": 78,
  "mass_density_g_cm3": 4.07,
  "formation_enthalpy_0k_ev_per_atom": 0.07
}

No. 20
{
  "formula": "CaAl2Tc",
  "functional": "PBE",
  "state": "relaxed",
  "lattice_angstrom": [[-0.607, -3.920, -2.400], [-2.011, -3.662, 2.010], [-4.263, -1.297, -1.281]],
  "species": ["Al", "Al", "Ca", "Tc"],
  "fractional_positions": [[0.250, 0.250, 0.250], [0.750, 0.750, 0.750], [0.000, 0.000, 0.000], [0.500, 0.500, 0.500]],
  "crystal_system": "cubic",
  "e_above_lowest_polymorph_ev_per_atom": 0.262,
  "dos_ef_per_ev_cell": 3.6,
  "volume_a3_per_fu": 70,
  "mass_density_g_cm3": 4.53,
  "formation_enthalpy_0k_ev_per_atom": 0.00
}